Record 1
A plane-wave DFT calculation with PBE was carried out for a relaxed structure of MgInHPt2.

The calculation puts the density of states at the Fermi level at 1.4 states/eV/f.u. The calculation puts the energy at -20.93 eV/cell. The polymorph energy (0 for the lowest one) is 124 meV per atom.

The space group is P4/mmm (No. 123) and the conventional cell measures 4.1137, 4.1137 and 4.2841 Å, with angles of 90.00, 90.00 and 90.00 degrees. The distinct sites, in fractional coordinates, are Mg at (0.0000, 0.0000, 0.0000), In at (0.5000, 0.5000, 0.0000), H at (0.5000, 0.5000, 0.5000) and Pt at (0.0000, 0.5000, 0.5000).

Record 2
A plane-wave DFT calculation with PBE was carried out for a relaxed structure of Sm2Er2In.

The calculation puts the density of states at the Fermi level at 7.1 states/eV/f.u. The calculation puts the energy at -43.01 eV/cell. As for the energy of formation from the pure elements: -0.04 eV/atom. The polymorph energy (0 for the lowest one) is 0 meV per atom.

The space group is P6_3/mmc (No. 194) and the conventional cell measures 5.4288, 5.4288 and 12.1486 Å, with angles of 90.00, 90.00 and 120.00 degrees. The distinct sites, in fractional coordinates, are Sm at (0.3333, 0.6667, 0.0889), Er at (0.0000, 0.0000, 0.0000), Er at (0.3333, 0.6667, 0.7500) and In at (0.0000, 0.0000, 0.2500).

Record 3
A plane-wave DFT calculation with PBE was carried out for a relaxed structure of Ca3NbPd.

The calculation puts the density of states at the Fermi level at 4.4 states/eV/f.u. The calculation puts the energy at -16.09 eV/cell. As for the energy of formation from the pure elements: 1.03 eV/atom. The polymorph energy (0 for the lowest one) is 613 meV per atom.

The space group is Pm-3m (No. 221) and the conventional cell measures 5.3651, 5.3651 and 5.3651 Å, with angles of 90.00, 90.00 and 90.00 degrees. The distinct sites, in fractional coordinates, are Ca at (0.0000, 0.0000, 0.5000), Nb at (0.0000, 0.0000, 0.0000) and Pd at (0.5000, 0.5000, 0.5000).

Record 4
A plane-wave DFT calculation with PBE was carried out for a relaxed structure of Li4PbAu4.

The calculation puts the density of states at the Fermi level at 5.1 states/eV/f.u. The calculation puts the energy at -54.77 eV/cell. As for the energy of formation from the pure elements: -0.32 eV/atom.

The space group is I4/m (No. 87) and the conventional cell measures 8.2737, 8.2737 and 4.6331 Å, with angles of 90.00, 90.00 and 90.00 degrees. The distinct sites, in fractional coordinates, are Li at (0.0485, 0.3471, 0.0000), Pb at (0.0000, 0.0000, 0.0000) and Au at (0.1389, 0.2191, 0.5000).